{"formula": "ZnSiMo4C2", "functional": "PBE", "state": "optimized geometry", "lattice": [[3.0775, 0.0000, 0.0000], [-1.5388, 2.6652, 0.0000], [0.0000, 0.0000, 12.8676]], "species": ["Zn", "Si", "Mo", "Mo", "Mo", "Mo", "C", "C"], "fractional_positions": [[0.0000, 0.0000, 0.0000], [0.3333, 0.6667, 0.5000], [0.0000, 0.0000, 0.3529], [0.0000, 0.0000, 0.6471], [0.3333, 0.6667, 0.1705], [0.3333, 0.6667, 0.8295], [0.6667, 0.3333, 0.2569], [0.6667, 0.3333, 0.7431]], "final_energy_ev_per_atom": -8.64, "sg": "No. 187"}